1.
Material: LaCoSi2Ni2
Method: DFT, PBE
State: relaxed

uncorrected formation energy = -1.92 eV/f.u.
space-group type = P4/mmm

POSCAR file:
```
LaCoSi2Ni2
1.0
4.332 0.000 0.000
0.000 4.332 0.000
0.000 0.000 5.231
La Co Si Ni
1 1 2 2
direct
0.000 0.000 0.000 La
0.000 0.000 0.500 Co
0.000 0.500 0.500 Si
0.500 0.000 0.500 Si
0.500 0.500 0.253 Ni
0.500 0.500 0.747 Ni
```

---

2.
Material: SrNd2Ge
Method: DFT, PBE
State: relaxed

energy above the lowest structure with this stoichiometry = 0 meV per atom
DFT formation energy = -0.29 eV per atom
space-group type = R3m

POSCAR file:
```
SrNd2Ge
1.0
2.144 1.238 9.939
-2.144 1.238 9.939
0.000 -2.476 9.939
Sr Nd Ge
1 2 1
direct
0.000 0.000 0.000 Sr
0.552 0.552 0.552 Nd
0.778 0.778 0.778 Nd
0.165 0.165 0.165 Ge
```

---

3.
Material: Tb5Dy2Er12
Method: DFT, PBE
State: relaxed

energy above the lowest structure with this stoichiometry = 34 meV per atom
DFT formation energy = 0.13 eV per atom
space-group type = C2/m

POSCAR file:
```
Tb5Dy2Er12
1.0
7.682 -4.590 0.000
7.682 4.590 0.000
-0.325 0.000 8.499
Tb Dy Er
5 2 12
direct
0.000 0.000 0.000 Tb
0.231 0.231 0.072 Tb
0.294 0.294 0.480 Tb
0.706 0.706 0.520 Tb
0.769 0.769 0.928 Tb
0.327 0.673 0.500 Dy
0.673 0.327 0.500 Dy
0.030 0.672 0.260 Er
0.074 0.074 0.373 Er
0.179 0.561 0.832 Er
0.328 0.970 0.740 Er
0.439 0.821 0.168 Er
0.443 0.443 0.165 Er
0.557 0.557 0.835 Er
0.561 0.179 0.832 Er
0.672 0.030 0.260 Er
0.821 0.439 0.168 Er
0.926 0.926 0.627 Er
0.970 0.328 0.740 Er
```

---

4.
Material: Ac2Ga3Ir4Ru
Method: DFT, PBE
State: relaxed

DFT formation energy = -0.54 eV per atom
space-group type = P-4m2

POSCAR file:
```
Ac2Ga3Ir4Ru
1.0
4.354 0.000 0.000
0.000 4.354 0.000
0.000 0.000 10.465
Ac Ga Ir Ru
2 3 4 1
direct
0.000 0.500 0.245 Ac
0.500 0.000 0.755 Ac
0.000 0.500 0.877 Ga
0.500 0.000 0.123 Ga
0.500 0.500 0.500 Ga
0.000 0.000 0.000 Ir
0.000 0.500 0.631 Ir
0.500 0.000 0.369 Ir
0.500 0.500 0.000 Ir
0.000 0.000 0.500 Ru
```

---

5.
Material: LuMnPd2
Method: DFT, PBE
State: relaxed

DFT formation energy = -0.60 eV per atom
space-group type = P4/mmm

POSCAR file:
```
LuMnPd2
1.0
4.261 0.000 0.000
0.000 4.261 0.000
0.000 0.000 3.784
Lu Mn Pd
1 1 2
direct
0.000 0.000 0.000 Lu
0.500 0.500 0.000 Mn
0.000 0.500 0.500 Pd
0.500 0.000 0.500 Pd
```

---

6.
Material: Pm2Sm2Y4Th
Method: DFT, PBE
State: relaxed

DFT formation energy = 0.00 eV per atom
space-group type = C2/m

POSCAR file:
```
Pm2Sm2Y4Th
1.0
9.440 -1.818 0.000
9.440 1.818 0.000
-4.211 0.000 8.690
Pm Sm Y Th
2 2 4 1
direct
0.148 0.148 0.166 Pm
0.852 0.852 0.834 Pm
0.336 0.336 0.496 Sm
0.664 0.664 0.504 Sm
0.184 0.184 0.834 Y
0.482 0.482 0.173 Y
0.518 0.518 0.827 Y
0.816 0.816 0.166 Y
0.000 0.000 0.500 Th
```

---

7.
Material: Ca2BRh
Method: DFT, PBE
State: relaxed

DFT formation energy = -0.27 eV per atom
space-group type = C2/m

POSCAR file:
```
Ca2BRh
1.0
6.222 -1.685 0.000
6.222 1.685 0.000
-4.427 0.000 8.566
Ca B Rh
4 2 2
direct
0.011 0.011 0.325 Ca
0.331 0.331 0.893 Ca
0.669 0.669 0.107 Ca
0.989 0.989 0.675 Ca
0.253 0.253 0.549 B
0.747 0.747 0.451 B
0.313 0.313 0.378 Rh
0.687 0.687 0.622 Rh
```

---

8.
Material: Li5Cd2Ag5
Method: DFT, PBE
State: relaxed

DFT formation energy = -0.19 eV per atom
space-group type = C2/m

POSCAR file:
```
Li5Cd2Ag5
1.0
6.893 -2.272 0.000
6.893 2.272 0.000
-4.573 0.000 6.571
Li Cd Ag
5 2 5
direct
0.000 0.000 0.000 Li
0.081 0.081 0.408 Li
0.251 0.251 0.255 Li
0.749 0.749 0.745 Li
0.919 0.919 0.592 Li
0.165 0.165 0.825 Cd
0.835 0.835 0.175 Cd
0.323 0.323 0.651 Ag
0.424 0.424 0.081 Ag
0.500 0.500 0.500 Ag
0.576 0.576 0.919 Ag
0.677 0.677 0.349 Ag
```